This record from Alexandria via LeMat-Bulk describes a relaxed Ba3Fe2MoO9 crystal. The functional is GGA+U.

The structure in POSCAR format:
```
Ba3Fe2MoO9
1.0
5.782 0.000 0.000
-2.891 5.007 0.000
0.000 0.000 7.102
Ba Fe Mo O
3 2 1 9
direct
0.333 0.667 0.675
0.000 0.000 0.000
0.667 0.333 0.325
0.333 0.667 0.151
0.667 0.333 0.849
0.000 0.000 0.500
0.839 0.161 0.658
0.839 0.679 0.658
0.321 0.161 0.658
0.679 0.839 0.342
0.161 0.321 0.342
0.161 0.839 0.342
0.500 0.000 0.000
0.000 0.500 0.000
0.500 0.500 0.000
```

Values from the calculation:
E: -6.7280 eV/atom
space-group type: P-3m1 (164)

---

This record from Alexandria via LeMat-Bulk describes a relaxed Ba3Fe2MoO8 crystal. The functional is GGA+U.

The structure in POSCAR format:
```
Ba3Fe2MoO8
1.0
-4.080 3.835 -1.791
2.393 -3.754 -3.840
-5.424 -5.046 1.552
Ba Fe Mo O
3 2 1 8
direct
0.333 0.667 0.658
0.667 0.333 0.342
0.000 0.000 0.000
0.333 0.667 0.222
0.667 0.333 0.778
0.000 0.000 0.500
0.333 0.667 0.985
0.667 0.333 0.015
0.162 0.838 0.331
0.838 0.162 0.669
0.162 0.324 0.331
0.838 0.676 0.669
0.676 0.838 0.331
0.324 0.162 0.669
```

Values from the calculation:
E: -6.6344 eV/atom
space-group type: P-3m1 (164)

---

This record from Alexandria via LeMat-Bulk describes a relaxed Ba3FeMo2O9 crystal. The functional is GGA+U.

The structure in POSCAR format:
```
Ba3FeMo2O9
1.0
5.899 0.000 0.000
-2.949 5.109 0.000
0.000 0.000 7.064
Ba Fe Mo O
3 1 2 9
direct
0.333 0.667 0.666
0.000 0.000 0.000
0.667 0.333 0.334
0.000 0.000 0.500
0.333 0.667 0.174
0.667 0.333 0.826
0.827 0.173 0.678
0.827 0.655 0.678
0.345 0.173 0.678
0.655 0.827 0.322
0.173 0.345 0.322
0.173 0.827 0.322
0.500 0.000 0.000
0.000 0.500 0.000
0.500 0.500 0.000
```

Values from the calculation:
E: -6.8867 eV/atom
space-group type: P-3m1 (164)

---

Q: The lowest E belongs to which entry?
A: Ba3FeMo2O9

---

Q: Among the records above, which one has the lowest E?
A: Ba3FeMo2O9